The following is a DFT calculation (PBE) of a geometry-optimized InCuGeTe3 structure.

Unit cell a=4.107 b=13.107 c=11.718 alpha=90.00 beta=90.00 gamma=90.00
Space group Cmcm (No. 63)
Inequivalent atoms, fractional coordinates:
In: 0.000 0.000 0.000 x4
Cu: 0.000 0.466 0.250 x4
Ge: 0.000 0.221 0.750 x4
Te: 0.000 0.097 0.250 x4
Te: 0.000 0.348 0.072 x8

## Properties
polymorph energy (0 for the lowest one) = 0.022 eV per atom
total energy = -82.81 eV for the cell shown